1.
Computed, not measured: NaAc2Tl2 after structural relaxation at the GGA-PBE level of DFT.

Output
**Space group**: Ibam, No. 72
**E above lowest polymorph**: 141.4 meV/atom
**M_tot**: 0.00 μB per atom
**Calculated formation energy**: -0.101 eV/atom

Cell and atoms, written as CIF:
```
data_NaAc2Tl2
_cell_length_a 8.5162
_cell_length_b 8.5162
_cell_length_c 8.5162
_cell_angle_alpha 121.72
_cell_angle_beta 77.16
_cell_angle_gamma 134.15
_symmetry_space_group_name_H-M 'P 1'
_symmetry_Int_Tables_number 1
loop_
_symmetry_equiv_pos_as_xyz
'x,y,z'
loop_
_atom_site_label
_atom_site_fract_x
_atom_site_fract_y
_atom_site_fract_z
Na1 0.2500 0.2500 0.0000
Na2 0.7500 0.7500 0.0000
Ac1 0.1909 0.6772 0.8681
Ac2 0.3091 0.1772 0.4864
Ac3 0.6909 0.8228 0.5136
Ac4 0.8091 0.3228 0.1319
Tl1 0.0671 0.3235 0.3907
Tl2 0.4329 0.8235 0.2564
Tl3 0.5671 0.1765 0.7436
Tl4 0.9329 0.6765 0.6093
```

---

2.
Computed, not measured: Ta3Rh after structural relaxation at the GGA-PBE level of DFT.

Output
**Space group**: P4/mmm, No. 123
**M_tot**: 0.00 μB per atom
**Calculated formation energy**: -0.174 eV/atom

Cell and atoms, written as CIF:
```
data_Ta3Rh
_cell_length_a 2.8828
_cell_length_b 2.8828
_cell_length_c 8.3561
_cell_angle_alpha 90.00
_cell_angle_beta 90.00
_cell_angle_gamma 90.00
_symmetry_space_group_name_H-M 'P 1'
_symmetry_Int_Tables_number 1
loop_
_symmetry_equiv_pos_as_xyz
'x,y,z'
loop_
_atom_site_label
_atom_site_fract_x
_atom_site_fract_y
_atom_site_fract_z
Ta1 0.0000 0.0000 0.0000
Ta2 0.5000 0.5000 0.2721
Ta3 0.5000 0.5000 0.7279
Rh1 0.0000 0.0000 0.5000
```

---

3.
Computed, not measured: SmHo3Er4 after structural relaxation at the GGA-PBE level of DFT.

Output
**Space group**: Pmn2_1, No. 31
**E above lowest polymorph**: 0.0 meV/atom
**M_tot**: 0.00 μB per atom
**Calculated formation energy**: 0.004 eV/atom

Cell and atoms, written as CIF:
```
data_SmHo3Er4
_cell_length_a 11.1740
_cell_length_b 7.2227
_cell_length_c 6.2408
_cell_angle_alpha 90.00
_cell_angle_beta 90.00
_cell_angle_gamma 90.00
_symmetry_space_group_name_H-M 'P 1'
_symmetry_Int_Tables_number 1
loop_
_symmetry_equiv_pos_as_xyz
'x,y,z'
loop_
_atom_site_label
_atom_site_fract_x
_atom_site_fract_y
_atom_site_fract_z
Sm1 0.0000 0.1261 0.0000
Sm2 0.5000 0.8739 0.5000
Ho1 0.0000 0.8741 0.4994
Ho2 0.2502 0.1262 0.3333
Ho3 0.2498 0.8738 0.8333
Ho4 0.5000 0.1259 0.9994
Ho5 0.7498 0.1262 0.3333
Ho6 0.7502 0.8738 0.8333
Er1 0.0000 0.3759 0.5008
Er2 0.0000 0.6239 0.9994
Er3 0.2486 0.6238 0.3333
Er4 0.2514 0.3762 0.8333
Er5 0.5000 0.3761 0.4994
Er6 0.5000 0.6241 0.0008
Er7 0.7486 0.3762 0.8333
Er8 0.7514 0.6238 0.3333
```

---

4.
Computed, not measured: CeFeB after structural relaxation at the GGA-PBE level of DFT.

Output
**Space group**: P-6m2, No. 187
**M_tot**: 0.14 μB per atom
**Calculated formation energy**: -0.165 eV/atom

Cell and atoms, written as CIF:
```
data_CeFeB
_cell_length_a 3.5943
_cell_length_b 3.5943
_cell_length_c 3.9969
_cell_angle_alpha 90.00
_cell_angle_beta 90.00
_cell_angle_gamma 120.00
_symmetry_space_group_name_H-M 'P 1'
_symmetry_Int_Tables_number 1
loop_
_symmetry_equiv_pos_as_xyz
'x,y,z'
loop_
_atom_site_label
_atom_site_fract_x
_atom_site_fract_y
_atom_site_fract_z
Ce1 0.0000 0.0000 0.0000
Fe1 0.6667 0.3333 0.5000
B1 0.3333 0.6667 0.5000
```

---

5.
Computed, not measured: Y6IrS5 after structural relaxation at the GGA-PBE level of DFT.

Output
**Space group**: C2/m, No. 12
**M_tot**: 0.00 μB per atom
**Energy relative to the elements, uncorrected**: -172.90 kJ/mol of atoms

Cell and atoms, written as CIF:
```
data_Y6IrS5
_cell_length_a 6.8844
_cell_length_b 6.8844
_cell_length_c 6.8525
_cell_angle_alpha 99.66
_cell_angle_beta 99.66
_cell_angle_gamma 119.94
_symmetry_space_group_name_H-M 'P 1'
_symmetry_Int_Tables_number 1
loop_
_symmetry_equiv_pos_as_xyz
'x,y,z'
loop_
_atom_site_label
_atom_site_fract_x
_atom_site_fract_y
_atom_site_fract_z
Y1 0.0807 0.4085 0.2442
Y2 0.2455 0.2455 0.7529
Y3 0.4085 0.0807 0.2442
Y4 0.5915 0.9193 0.7558
Y5 0.7545 0.7545 0.2471
Y6 0.9193 0.5915 0.7558
Ir1 0.0000 0.0000 0.0000
S1 0.1718 0.8282 0.5000
S2 0.3340 0.6660 0.0000
S3 0.5000 0.5000 0.5000
S4 0.6660 0.3340 0.0000
S5 0.8282 0.1718 0.5000
```

---

6.
Computed, not measured: NaLi2Ga after structural relaxation at the GGA-PBE level of DFT.

Output
**Space group**: I-42d, No. 122
**M_tot**: 0.00 μB per atom
**Calculated formation energy**: 0.050 eV/atom

Cell and atoms, written as CIF:
```
data_NaLi2Ga
_cell_length_a 6.1765
_cell_length_b 6.1765
_cell_length_c 6.1765
_cell_angle_alpha 104.03
_cell_angle_beta 104.03
_cell_angle_gamma 121.00
_symmetry_space_group_name_H-M 'P 1'
_symmetry_Int_Tables_number 1
loop_
_symmetry_equiv_pos_as_xyz
'x,y,z'
loop_
_atom_site_label
_atom_site_fract_x
_atom_site_fract_y
_atom_site_fract_z
Na1 0.0000 0.0000 0.0000
Na2 0.7500 0.2500 0.5000
Li1 0.1545 0.6250 0.0295
Li2 0.3750 0.4045 0.5295
Li3 0.5955 0.1250 0.9705
Li4 0.8750 0.8455 0.4705
Ga1 0.2500 0.7500 0.5000
Ga2 0.5000 0.5000 0.0000
```

---

Number 1: V 183.18 Å³/f.u.. Number 2: V 69.44 Å³/f.u.. Number 3: V 251.84 Å³/f.u.. Number 4: V 44.72 Å³/f.u.. Number 5: V 265.15 Å³/f.u.. Number 6: V 87.90 Å³/f.u..